# 1
# TiMnPtO6 (PBE+U, optimized geometry)
# - calculated density (Mg/m³) = 6.86
# - E (eV for the cell shown) = -129.42
data_TiMnPtO6
_cell_length_a 4.9843
_cell_length_b 4.9843
_cell_length_c 8.8605
_cell_angle_alpha 90.00
_cell_angle_beta 90.00
_cell_angle_gamma 120.00
_space_group_name_H-M_alt 'P -3 1 c'
_space_group_IT_number 163
_space_group_name_Hall '-P 3 2c'
loop_
_atom_site_label
_atom_site_type_symbol
_atom_site_fract_x
_atom_site_fract_y
_atom_site_fract_z
Ti1 Ti 0.3333 0.6667 0.2500
Mn1 Mn 0.0000 0.0000 0.0000
Pt1 Pt 0.3333 0.6667 0.7500
O1 O 0.0092 0.3382 0.1253


# 2
# TiMnPtO2 (PBE+U, optimized geometry)
# - calculated density (Mg/m³) = 6.74
# - E (eV for the cell shown) = -29.51
data_TiMnPtO2
_cell_length_a 4.0499
_cell_length_b 4.0499
_cell_length_c 4.9570
_cell_angle_alpha 90.00
_cell_angle_beta 90.00
_cell_angle_gamma 90.00
_space_group_name_H-M_alt 'P 4/m m m'
_space_group_IT_number 123
_space_group_name_Hall '-P 4 2'
loop_
_atom_site_label
_atom_site_type_symbol
_atom_site_fract_x
_atom_site_fract_y
_atom_site_fract_z
Ti1 Ti 0.0000 0.0000 0.0000
Mn1 Mn 0.5000 0.5000 0.0000
Pt1 Pt 0.0000 0.0000 0.5000
O1 O 0.0000 0.5000 0.5000


# 3
# MnTlPt2O8 (PBE+U, optimized geometry)
# - calculated density (Mg/m³) = 7.61
# - E (eV for the cell shown) = -60.51
data_MnTlPt2O8
_cell_length_a 5.7668
_cell_length_b 5.7668
_cell_length_c 5.8880
_cell_angle_alpha 90.00
_cell_angle_beta 90.00
_cell_angle_gamma 120.00
_space_group_name_H-M_alt 'P -3'
_space_group_IT_number 147
loop_
_space_group_symop_operation_xyz
'x,y,z'
'-x,-y,-z'
'-y,x-y,z'
'y,-x+y,-z'
'-x+y,-x,z'
'x-y,x,-z'
loop_
_atom_site_label
_atom_site_type_symbol
_atom_site_fract_x
_atom_site_fract_y
_atom_site_fract_z
Mn1 Mn 0.0000 0.0000 0.0000
Tl1 Tl 0.0000 0.0000 0.5000
Pt1 Pt 0.3333 0.6667 0.4504
O1 O 0.0567 0.3859 0.6593
O2 O 0.3333 0.6667 0.1285


# 4
# MnTlPtO4 (PBE+U, optimized geometry)
# - calculated density (Mg/m³) = 8.95
# - E (eV for the cell shown) = -163.56
data_MnTlPtO4
_cell_length_a 6.0987
_cell_length_b 6.4378
_cell_length_c 9.7941
_cell_angle_alpha 90.00
_cell_angle_beta 90.00
_cell_angle_gamma 90.00
_space_group_name_H-M_alt 'I m m a'
_space_group_IT_number 74
_space_group_name_Hall '-I 2b 2'
loop_
_atom_site_label
_atom_site_type_symbol
_atom_site_fract_x
_atom_site_fract_y
_atom_site_fract_z
Mn1 Mn 0.0000 0.2500 0.2098
Tl1 Tl 0.0000 0.0000 0.5000
Pt1 Pt 0.2500 0.2500 0.7500
O1 O 0.0000 0.0562 0.8010
O2 O 0.2120 0.2500 0.3893